(1)
First-principles (PBE) data for RbInBr6 after structural relaxation, as listed in Alexandria.

Lattice parameters (Å, degrees): 6.624 6.624 6.624 95.42 95.42 95.42
Last column: magnetic moment on the atom in μB.
Atoms (fractional coordinates):
Rb 0.000 0.000 0.000  0.00
In 0.500 0.500 0.500  -0.01
Br 0.213 0.589 0.213  0.20
Br 0.213 0.213 0.589  0.20
Br 0.787 0.411 0.787  0.20
Br 0.411 0.787 0.787  0.20
Br 0.787 0.787 0.411  0.20
Br 0.589 0.213 0.213  0.20

As for the crystal system: trigonal. As for the total magnetic moment: 1.59 Bohr magnetons per cell. For the raw formation energy, the calculation gives -659 meV per atom. As for the uncorrected energy: -2.376 eV/atom.

***

(2)
First-principles (PBE) data for ScTe2PdI after structural relaxation, as listed in Alexandria.

Lattice parameters (Å, degrees): 5.338 5.338 5.311 90.00 90.00 90.00
Last column: magnetic moment on the atom in μB.
Atoms (fractional coordinates):
I 0.000 0.000 0.500  -0.01
Sc 0.500 0.500 0.500  0.18
Te 0.000 0.500 0.000  -0.02
Te 0.500 0.000 0.000  -0.02
Pd 0.000 0.000 0.000  0.00

As for the crystal system: tetragonal. As for the total magnetic moment: 0.17 Bohr magnetons per cell. For the raw formation energy, the calculation gives 4 meV per atom. As for the uncorrected energy: -3.868 eV/atom. The calculation puts the energy above the most stable polymorph in this dataset at 0.000 eV per atom.

***

(3)
First-principles (PBE) data for SbPdPb2O6 after structural relaxation, as listed in Alexandria.

Lattice parameters (Å, degrees): 5.803 5.796 8.173 90.00 89.88 90.00
Atoms (fractional coordinates):
Sb 0.500 0.000 0.500
Sb 0.000 0.500 0.000
Pd 0.500 0.000 0.000
Pd 0.000 0.500 0.500
Pb 0.009 0.973 0.251
Pb 0.509 0.527 0.751
Pb 0.991 0.027 0.749
Pb 0.491 0.473 0.249
O 0.275 0.715 0.039
O 0.775 0.785 0.539
O 0.725 0.285 0.961
O 0.225 0.215 0.461
O 0.284 0.727 0.458
O 0.784 0.773 0.958
O 0.716 0.273 0.542
O 0.216 0.227 0.042
O 0.925 0.516 0.245
O 0.425 0.984 0.745
O 0.075 0.484 0.755
O 0.575 0.016 0.255

As for the crystal system: monoclinic. As for the total magnetic moment: 0.00 Bohr magnetons per cell. For the raw formation energy, the calculation gives -954 meV per atom. As for the uncorrected energy: -5.602 eV/atom.

***

(4)
First-principles (PBE) data for ScCrOs2Cl after structural relaxation, as listed in Alexandria.

Lattice parameters (Å, degrees): 4.401 4.527 4.401 90.00 90.00 90.00
Last column: magnetic moment on the atom in μB.
Atoms (fractional coordinates):
Sc 0.000 0.500 0.000  -0.01
Cr 0.500 0.500 0.500  3.58
Os 0.000 0.000 0.500  -0.16
Os 0.500 0.000 0.000  -0.18
Cl 0.000 0.000 0.000  0.01

As for the crystal system: tetragonal. As for the total magnetic moment: 3.68 Bohr magnetons per cell. For the raw formation energy, the calculation gives 1072 meV per atom. As for the uncorrected energy: -6.980 eV/atom.